Record 1
## Sc6Te2Pd (PBE)

Data for an optimized crystal structure of Sc6Te2Pd.

Cell: 20.313 3.808 10.739 Å, 90.00 90.00 90.00°
Fractional coordinates of all 36 atoms:
Pd 0.924 0.250 0.135
Pd 0.424 0.250 0.365
Pd 0.576 0.750 0.635
Pd 0.076 0.750 0.865
Sc 0.842 0.750 0.030
Sc 0.637 0.750 0.058
Sc 0.506 0.250 0.111
Sc 0.026 0.750 0.120
Sc 0.391 0.750 0.190
Sc 0.768 0.250 0.237
Sc 0.268 0.250 0.263
Sc 0.891 0.750 0.310
Sc 0.526 0.750 0.380
Sc 0.006 0.250 0.389
Sc 0.137 0.750 0.442
Sc 0.342 0.750 0.470
Sc 0.658 0.250 0.530
Sc 0.863 0.250 0.558
Sc 0.994 0.750 0.611
Sc 0.474 0.250 0.620
Sc 0.109 0.250 0.690
Sc 0.732 0.750 0.737
Sc 0.232 0.750 0.763
Sc 0.609 0.250 0.810
Sc 0.974 0.250 0.880
Sc 0.494 0.750 0.889
Sc 0.363 0.250 0.942
Sc 0.158 0.250 0.970
Te 0.265 0.750 0.046
Te 0.125 0.250 0.234
Te 0.625 0.250 0.266
Te 0.765 0.750 0.454
Te 0.235 0.250 0.546
Te 0.375 0.750 0.734
Te 0.875 0.750 0.766
Te 0.735 0.250 0.954

Output
The total moment is 0.02 μB per formula unit. For the theoretical density, the calculation gives 5.05 g/cm³. For the energy, the calculation gives -6.25 eV/atom. The volume comes out at 23.076 A^3/atom. As for the symmetry: Pnma.


Record 2
## NiAs2 (PBE)

Data for an optimized crystal structure of NiAs2.

Cell: 6.316 4.196 7.547 Å, 90.00 90.00 90.00°
Fractional coordinates of all 12 atoms:
As 0.433 0.250 0.120
As 0.880 0.750 0.121
As 0.380 0.750 0.379
As 0.933 0.250 0.380
As 0.067 0.750 0.620
As 0.620 0.250 0.621
As 0.120 0.250 0.879
As 0.567 0.750 0.880
Ni 0.251 0.750 0.057
Ni 0.751 0.750 0.443
Ni 0.249 0.250 0.557
Ni 0.749 0.250 0.943

Output
The total moment is 0.00 μB per formula unit. For the theoretical density, the calculation gives 6.92 g/cm³. For the energy, the calculation gives -5.03 eV/atom. The volume comes out at 16.669 A^3/atom. As for the symmetry: Pnma.


Record 3
## FeH6Se (PBE)

Data for an optimized crystal structure of FeH6Se.

Cell: 2.714 4.523 4.733 Å, 90.00 103.86 90.00°
Fractional coordinates of all 8 atoms:
Fe 0.176 0.000 0.142
H 0.778 0.000 0.336
H 0.275 0.000 0.474
H 0.120 0.227 0.872
H 0.120 0.773 0.872
H 0.800 0.213 0.922
H 0.800 0.787 0.922
Se 0.320 0.500 0.400

Output
The total moment is 0.06 μB per formula unit. For the theoretical density, the calculation gives 4.15 g/cm³. For the energy, the calculation gives -3.79 eV/atom. The volume comes out at 7.051 A^3/atom. As for the symmetry: Pm.